1.
Entry from Alexandria: a geometry-optimized LaScBr2 structure (PBE).

## Properties
The energy relative to the elements, uncorrected comes out at -0.938 eV per atom. The energy above the most stable polymorph in this dataset is 16.68 kJ per mole of atoms. As for the symmetry: Immm.

Lattice parameters (Å, degrees): 5.998 5.998 5.998 144.78 116.86 74.41
Positions (direct):
La1 0.000 0.000 0.000
Sc1 0.500 0.500 0.000
Br1 0.273 0.773 0.500
Br2 0.727 0.227 0.500

2.
Entry from Alexandria: a geometry-optimized Li2ThCrN4 structure (PBE).

## Properties
The energy relative to the elements, uncorrected comes out at -0.862 eV per atom. As for the symmetry: Pmn2_1.

Lattice parameters (Å, degrees): 7.586 5.022 4.970 90.00 90.00 90.00
Positions (direct):
Li1 0.250 0.235 0.000
Li2 0.250 0.765 0.500
Li3 0.750 0.235 0.000
Li4 0.750 0.765 0.500
Th1 0.000 0.210 0.494
Th2 0.500 0.790 0.994
Cr1 0.000 0.692 0.019
Cr2 0.500 0.308 0.519
N1 0.000 0.348 0.962
N2 0.000 0.711 0.370
N3 0.194 0.835 0.893
N4 0.306 0.165 0.393
N5 0.500 0.289 0.870
N6 0.500 0.652 0.462
N7 0.694 0.165 0.393
N8 0.806 0.835 0.893

3.
Entry from Alexandria: a geometry-optimized GaHgAs2Br structure (PBE).

## Properties
The energy relative to the elements, uncorrected comes out at 0.628 eV per atom. The energy above the most stable polymorph in this dataset is 18.08 kJ per mole of atoms. As for the symmetry: P4/mmm.

Lattice parameters (Å, degrees): 5.191 5.191 6.193 90.00 90.00 90.00
Positions (direct):
Ga1 0.000 0.000 0.000
Hg1 0.500 0.500 0.500
As1 0.000 0.500 0.500
As2 0.500 0.000 0.500
Br1 0.500 0.500 0.000

4.
Entry from Alexandria: a geometry-optimized MgCr3Fe structure (PBE).

## Properties
As for the calculated formation energy: 0.98 eV/atom. The energy above the most stable polymorph in this dataset is 0.00 kJ per mole of atoms. As for the symmetry: Pm-3m.

Lattice parameters (Å, degrees): 4.297 4.297 4.297 90.00 90.00 90.00
Positions (direct):
Mg1 0.000 0.000 0.000
Cr1 0.000 0.500 0.500
Cr2 0.500 0.000 0.500
Cr3 0.500 0.500 0.000
Fe1 0.500 0.500 0.500

5.
Entry from Alexandria: a geometry-optimized YTcW structure (PBE).

## Properties
As for the calculated formation energy: -0.05 eV/atom. The energy above the most stable polymorph in this dataset is 0.00 kJ per mole of atoms. As for the symmetry: Imma.

Lattice parameters (Å, degrees): 5.463 5.463 5.463 119.78 119.16 90.93
Positions (direct):
Y1 0.377 0.127 0.250
Y2 0.623 0.873 0.750
Tc1 0.000 0.500 0.500
Tc2 0.500 0.500 0.000
W1 0.000 0.000 0.500
W2 0.000 0.500 0.000

6.
Entry from Alexandria: a geometry-optimized CaCeGePb structure (PBE).

## Properties
As for the calculated formation energy: -0.43 eV/atom. As for the symmetry: F-43m.

Lattice parameters (Å, degrees): 5.366 5.366 5.366 60.00 60.00 60.00
Positions (direct):
Ca1 0.000 0.000 0.000
Ce1 0.500 0.500 0.500
Ge1 0.250 0.250 0.250
Pb1 0.750 0.750 0.750

no.,M_tot (μB/f.u.)
1,0.00
2,0.00
3,1.75
4,3.74
5,0.00
6,0.89